The following is a PBE-GGA calculation of crystalline NbBrO2F at its relaxed geometry, from Alexandria.

Cell: 4.029 4.029 4.305 Å, 90.00 90.00 90.00°
Space group P4/mmm (No. 123)
Asymmetric unit:
Nb: 0.000 0.000 0.000
Br: 0.500 0.500 0.500
O: 0.000 0.500 0.000
F: 0.000 0.000 0.500

Computed properties:
E_form (uncorrected) (eV per atom): -1.552


The following is a PBE-GGA calculation of crystalline SeF6 at its relaxed geometry, from Alexandria.

Cell: 9.854 8.729 5.118 Å, 90.00 90.00 90.00°
Space group Pnma (No. 62)
Asymmetric unit:
Se: 0.129 0.250 0.108
F: 0.017 0.250 0.845
F: 0.033 0.109 0.260
F: 0.226 0.109 0.955
F: 0.241 0.250 0.370

Computed properties:
E_form (uncorrected) (eV per atom): -1.607


The following is a PBE-GGA calculation of crystalline Ni2Ru2Au at its relaxed geometry, from Alexandria.

Cell: 7.213 7.213 2.684 Å, 90.00 90.00 90.00°
Space group P4/mbm (No. 127)
Asymmetric unit:
Ni: 0.120 0.380 0.000
Ru: 0.173 0.673 0.500
Au: 0.000 0.000 0.000

Computed properties:
Formation energy (eV/atom): 0.35


Total magnetization (computed, μB/f.u.): 1.05, 0.06, 2.56